# 1
Material: Zr4Mo2S3N3
Method: DFT, PBE
State: relaxed

Results
As for the total DFT energy (no corrections): -0.655 Ry/atom. Its space-group type is C2/c, No. 15.

Lattice parameters (Å, degrees): 5.770 5.770 12.293 102.50 102.50 60.25
Atoms (fractional coordinates):
1 Zr 0.011 0.221 0.099
2 Zr 0.158 0.298 0.401
3 Zr 0.221 0.011 0.599
4 Zr 0.298 0.158 0.901
5 Zr 0.702 0.842 0.099
6 Zr 0.779 0.989 0.401
7 Zr 0.842 0.702 0.599
8 Zr 0.989 0.779 0.901
9 Mo 0.415 0.528 0.099
10 Mo 0.472 0.585 0.401
11 Mo 0.528 0.415 0.599
12 Mo 0.585 0.472 0.901
13 S 0.107 0.893 0.250
14 S 0.260 0.421 0.743
15 S 0.421 0.260 0.243
16 S 0.579 0.740 0.757
17 S 0.740 0.579 0.257
18 S 0.893 0.107 0.750
19 N 0.000 0.500 0.000
20 N 0.150 0.674 0.499
21 N 0.326 0.850 0.001
22 N 0.500 0.000 0.500
23 N 0.674 0.150 0.999
24 N 0.850 0.326 0.501

=====

# 2
Material: CsCdSb
Method: DFT, PBE
State: relaxed

Results
As for the total DFT energy (no corrections): -0.175 Ry/atom. Its space-group type is P6_3/mmc, No. 194.

Lattice parameters (Å, degrees): 4.910 4.910 11.980 90.00 90.00 120.00
Atoms (fractional coordinates):
1 Cs 0.000 0.000 0.000
2 Cs 0.000 0.000 0.500
3 Cd 0.333 0.667 0.250
4 Cd 0.667 0.333 0.750
5 Sb 0.333 0.667 0.750
6 Sb 0.667 0.333 0.250

=====

# 3
Material: MgAlTlNi
Method: DFT, PBE
State: relaxed

Results
Its space-group type is F-43m, No. 216. The offset from the most stable computed form is 0.00 kJ/mol of atoms.

Lattice parameters (Å, degrees): 4.650 4.650 4.650 60.00 60.00 60.00
Atoms (fractional coordinates):
1 Mg 0.000 0.000 0.000
2 Al 0.500 0.500 0.500
3 Tl 0.750 0.750 0.750
4 Ni 0.250 0.250 0.250

=====

Copy entry 1 word for word.
Material: Zr4Mo2S3N3
Method: DFT, PBE
State: relaxed

Results
As for the total DFT energy (no corrections): -0.655 Ry/atom. Its space-group type is C2/c, No. 15.

Lattice parameters (Å, degrees): 5.770 5.770 12.293 102.50 102.50 60.25
Atoms (fractional coordinates):
1 Zr 0.011 0.221 0.099
2 Zr 0.158 0.298 0.401
3 Zr 0.221 0.011 0.599
4 Zr 0.298 0.158 0.901
5 Zr 0.702 0.842 0.099
6 Zr 0.779 0.989 0.401
7 Zr 0.842 0.702 0.599
8 Zr 0.989 0.779 0.901
9 Mo 0.415 0.528 0.099
10 Mo 0.472 0.585 0.401
11 Mo 0.528 0.415 0.599
12 Mo 0.585 0.472 0.901
13 S 0.107 0.893 0.250
14 S 0.260 0.421 0.743
15 S 0.421 0.260 0.243
16 S 0.579 0.740 0.757
17 S 0.740 0.579 0.257
18 S 0.893 0.107 0.750
19 N 0.000 0.500 0.000
20 N 0.150 0.674 0.499
21 N 0.326 0.850 0.001
22 N 0.500 0.000 0.500
23 N 0.674 0.150 0.999
24 N 0.850 0.326 0.501